Entry 1:
# InCuSb2

A geometry-optimized InCuSb2 structure (PBE, Alexandria via LeMat-Bulk).

## Properties
For the formation energy without anion corrections, the calculation gives 0.203 eV per atom. Its calculated volume is 23.44 Å³/atom. The value obtained for the magnetic moment is 0.0 μB per formula unit.

Cell: 3.2244 3.2244 9.1325 Å, 90.00 90.00 99.06°
Last column: nearest neighbours and their distance in Å.
Positions (direct):
In 0.0000 0.0000 0.0000  4 Cu 2.80-3.08
Cu 0.5000 0.5000 0.7959  4 Sb 2.74-3.02, 2 In 2.80
Sb 0.0000 0.0000 0.6028  4 Cu 2.74-3.02
Sb 0.5000 0.5000 0.2863  6 Sb 3.22-3.57, 4 In 3.35-3.59

---

Entry 2:
# LiTaNb2O8

A geometry-optimized LiTaNb2O8 structure (PBE, Alexandria via LeMat-Bulk).

## Properties
For the formation energy without anion corrections, the calculation gives -2.577 eV per atom. Its calculated volume is 11.94 Å³/atom. The value obtained for the magnetic moment is 0.0 μB per formula unit.

Cell: 4.7733 4.7733 6.2898 Å, 90.02 90.02 88.49°
Last column: nearest neighbours and their distance in Å.
Positions (direct):
Li 0.0000 0.0000 0.0000  6 O 2.14-2.20
Ta 0.0000 0.0000 0.5000  6 O 1.98-2.04
Nb 0.4753 0.4753 0.2393  5 O 1.90-2.07
Nb 0.5247 0.5247 0.7607  5 O 1.90-2.07
O 0.2051 0.7934 0.7274  1 Nb 1.98, 1 Ta 1.98, 1 Li 2.20
O 0.2066 0.7949 0.2726  1 Nb 1.98, 1 Ta 1.98, 1 Li 2.20
O 0.2985 0.2985 0.4980  2 Nb 2.03-2.26, 1 Ta 2.04
O 0.3123 0.3123 0.9946  2 Nb 1.90-2.07
O 0.6877 0.6877 0.0054  2 Nb 1.90-2.07
O 0.7015 0.7015 0.5020  2 Nb 2.03-2.26, 1 Ta 2.04
O 0.7934 0.2051 0.7274  1 Nb 1.98, 1 Ta 1.98, 1 Li 2.20
O 0.7949 0.2066 0.2726  1 Nb 1.98, 1 Ta 1.98, 1 Li 2.20

---

Entry 3:
# TbS4

A geometry-optimized TbS4 structure (PBE, Alexandria via LeMat-Bulk).

## Properties
For the formation energy without anion corrections, the calculation gives 0.202 eV per atom. Its calculated volume is 30.88 Å³/atom. As for the distance to the lowest polymorph of the same formula: 586.6 meV/atom. The value obtained for the magnetic moment is 5.0 μB per formula unit.

Cell: 5.3646 5.3646 5.3646 Å, 90.00 90.00 90.00°
Last column: nearest neighbours and their distance in Å.
Positions (direct):
Tb 0.0000 0.0000 0.0000  6 S 2.68
S 0.0000 0.0000 0.5000  2 Tb 2.68
S 0.0000 0.5000 0.0000  2 Tb 2.68
S 0.5000 0.0000 0.0000  2 Tb 2.68
S 0.5000 0.5000 0.5000  12 S 3.79

---

Entry 4:
# RbIn2Pd

A geometry-optimized RbIn2Pd structure (PBE, Alexandria via LeMat-Bulk).

## Properties
Its calculated volume is 26.23 Å³/atom. For the formation energy, the calculation gives 0.132 eV/atom. The value obtained for the magnetic moment is 0.0 μB per formula unit.

Cell: 5.2938 5.2938 5.2938 Å, 60.00 60.00 60.00°
Last column: nearest neighbours and their distance in Å.
Positions (direct):
Rb 0.0000 0.0000 0.0000  8 In 3.24
In 0.2500 0.2500 0.2500  4 Rb 3.24, 4 Pd 3.24
In 0.7500 0.7500 0.7500  4 Rb 3.24, 4 Pd 3.24
Pd 0.5000 0.5000 0.5000  8 In 3.24

---

Entry 5:
# Cs2AgWCl6

A geometry-optimized Cs2AgWCl6 structure (PBE, Alexandria via LeMat-Bulk).

## Properties
For the formation energy without anion corrections, the calculation gives -1.155 eV per atom. Its calculated volume is 28.98 Å³/atom. The value obtained for the magnetic moment is 3.0 μB per formula unit.

Cell: 7.4282 7.4282 7.4282 Å, 60.00 60.00 60.00°
Last column: nearest neighbours and their distance in Å.
Positions (direct):
Cs 0.2500 0.2500 0.2500  12 Cl 3.72
Cs 0.7500 0.7500 0.7500  12 Cl 3.72
Ag 0.0000 0.0000 0.0000  6 Cl 2.78
W 0.5000 0.5000 0.5000  6 Cl 2.47
Cl 0.2650 0.2650 0.7350  1 W 2.47
Cl 0.2650 0.7350 0.2650  1 W 2.47
Cl 0.2650 0.7350 0.7350  1 W 2.47
Cl 0.7350 0.2650 0.2650  1 W 2.47
Cl 0.7350 0.2650 0.7350  1 W 2.47
Cl 0.7350 0.7350 0.2650  1 W 2.47

---

Entry 6:
# Tb2Y2Sc7

A geometry-optimized Tb2Y2Sc7 structure (PBE, Alexandria via LeMat-Bulk).

## Properties
Its calculated volume is 27.47 Å³/atom. For the formation energy, the calculation gives 0.167 eV/atom. The value obtained for the magnetic moment is 0.0 μB per formula unit.

Cell: 6.2784 6.2784 9.0546 Å, 95.04 95.04 120.64°
Last column: nearest neighbours and their distance in Å.
Positions (direct):
Tb 0.0383 0.0383 0.2079  5 Sc 3.13-3.28, 2 Y 3.45
Tb 0.9617 0.9617 0.7921  5 Sc 3.13-3.28, 2 Y 3.45
Y 0.1977 0.8023 0.5000  4 Sc 3.16-3.37, 2 Y 3.31, 2 Tb 3.45
Y 0.8023 0.1977 0.5000  4 Sc 3.16-3.37, 2 Y 3.31, 2 Tb 3.45
Sc 0.1098 0.5590 0.1629  5 Sc 3.00-3.30, 2 Tb 3.13-3.26, 1 Y 3.16
Sc 0.4016 0.4016 0.6390  4 Sc 2.99-3.30, 1 Tb 3.28
Sc 0.4410 0.8902 0.8371  5 Sc 3.00-3.30, 2 Tb 3.13-3.26, 1 Y 3.16
Sc 0.5000 0.5000 0.0000  6 Sc 3.13-3.22
Sc 0.5590 0.1098 0.1629  5 Sc 3.00-3.30, 2 Tb 3.13-3.26, 1 Y 3.16
Sc 0.5984 0.5984 0.3610  4 Sc 2.99-3.30, 1 Tb 3.28
Sc 0.8902 0.4410 0.8371  5 Sc 3.00-3.30, 2 Tb 3.13-3.26, 1 Y 3.16

---

Entry 7:
# LiPmPd2

A geometry-optimized LiPmPd2 structure (PBE, Alexandria via LeMat-Bulk).

## Properties
Its calculated volume is 18.68 Å³/atom. For the formation energy, the calculation gives -0.604 eV/atom. As for the distance to the lowest polymorph of the same formula: 43.3 meV/atom. The value obtained for the magnetic moment is 0.0 μB per formula unit.

Cell: 4.3275 4.3275 3.9889 Å, 90.00 90.00 90.00°
Last column: nearest neighbours and their distance in Å.
Positions (direct):
Li 0.0000 0.0000 0.0000  8 Pd 2.94, 4 Pm 3.06
Pm 0.5000 0.5000 0.0000  8 Pd 2.94, 4 Li 3.06
Pd 0.0000 0.5000 0.5000  4 Li 2.94, 4 Pm 2.94, 4 Pd 3.06
Pd 0.5000 0.0000 0.5000  4 Li 2.94, 4 Pm 2.94, 4 Pd 3.06

---

Entry 8:
# PmErZr

A geometry-optimized PmErZr structure (PBE, Alexandria via LeMat-Bulk).

## Properties
Its calculated volume is 28.60 Å³/atom. For the formation energy, the calculation gives 0.128 eV/atom. As for the distance to the lowest polymorph of the same formula: 34.8 meV/atom. The value obtained for the magnetic moment is 0.0 μB per formula unit.

Cell: 3.3806 4.8712 10.5553 Å, 90.00 99.14 90.00°
Last column: nearest neighbours and their distance in Å.
Positions (direct):
Pm 0.0509 0.2500 0.1003  4 Pm 3.21-3.38, 1 Zr 3.41, 4 Er 3.45-3.46
Pm 0.9491 0.7500 0.8997  4 Pm 3.21-3.38, 1 Zr 3.41, 4 Er 3.45-3.46
Er 0.3651 0.2500 0.7294  5 Zr 3.14-3.39, 2 Er 3.38, 4 Pm 3.45-3.46
Er 0.6349 0.7500 0.2706  5 Zr 3.14-3.39, 2 Er 3.38, 4 Pm 3.45-3.46
Zr 0.2137 0.2500 0.4280  5 Er 3.14-3.39, 6 Zr 3.32-3.38, 1 Pm 3.41
Zr 0.7863 0.7500 0.5720  5 Er 3.14-3.39, 6 Zr 3.32-3.38, 1 Pm 3.41